Record 1
Entry from Alexandria: Ba2AlHg after structural relaxation (GGA-PBE).

Computed properties:
formation enthalpy at 0 K	-0.255	eV per formula unit
energy relative to the lowest polymorph listed for this composition	220	meV/atom

The structure in CIF format:
```
data_Ba2AlHg
_chemical_formula_sum 'Ba6 Al3 Hg3'
_symmetry_space_group_name_H-M 'R -3 m'
_symmetry_Int_Tables_number 166
_symmetry_space_group_name_Hall '-R 3 2"'
_cell_length_a 4.3875
_cell_length_b 4.3875
_cell_length_c 29.9364
_cell_angle_alpha 90.00
_cell_angle_beta 90.00
_cell_angle_gamma 120.00
loop_
_atom_site_label
_atom_site_type_symbol
_atom_site_fract_x
_atom_site_fract_y
_atom_site_fract_z
Ba1 Ba 0.0000 0.0000 0.2490
Al1 Al 0.0000 0.0000 0.5000
Hg1 Hg 0.0000 0.0000 0.0000
```

Record 2
Entry from Alexandria: SnO after structural relaxation (GGA-PBE).

Computed properties:
formation energy from raw total energies	-826	meV/atom

The structure in CIF format:
```
data_SnO
_chemical_formula_sum 'Sn4 O4'
_symmetry_space_group_name_H-M 'F -4 3 m'
_symmetry_Int_Tables_number 216
_symmetry_space_group_name_Hall 'F -4 2 3'
_cell_length_a 5.474
_cell_length_b 5.474
_cell_length_c 5.474
_cell_angle_alpha 90.00
_cell_angle_beta 90.00
_cell_angle_gamma 90.00
loop_
_atom_site_label
_atom_site_type_symbol
_atom_site_fract_x
_atom_site_fract_y
_atom_site_fract_z
Sn1 Sn 0.000 0.000 0.000
O1 O 0.250 0.250 0.250
```

Record 3
Entry from Alexandria: HfH3F after structural relaxation (GGA-PBE).

Computed properties:
energy relative to the lowest polymorph listed for this composition	0	meV/atom

The structure in CIF format:
```
data_HfH3F
_chemical_formula_sum 'Hf1 H3 F1'
_symmetry_space_group_name_H-M 'P m -3 m'
_symmetry_Int_Tables_number 221
_symmetry_space_group_name_Hall '-P 4 2 3'
_cell_length_a 3.745
_cell_length_b 3.745
_cell_length_c 3.745
_cell_angle_alpha 90.00
_cell_angle_beta 90.00
_cell_angle_gamma 90.00
loop_
_atom_site_label
_atom_site_type_symbol
_atom_site_fract_x
_atom_site_fract_y
_atom_site_fract_z
Hf1 Hf 0.000 0.000 0.000
H1 H 0.000 0.000 0.500
F1 F 0.500 0.500 0.500
```

Record 4
Entry from Alexandria: CsRb14Cd after structural relaxation (GGA-PBE).

Computed properties:
formation enthalpy at 0 K	0.404	eV per formula unit

The structure in CIF format:
```
data_CsRb14Cd
_chemical_formula_sum 'Cs2 Rb28 Cd2'
_symmetry_space_group_name_H-M 'A m m 2'
_symmetry_Int_Tables_number 38
_cell_length_a 15.881
_cell_length_b 9.561
_cell_length_c 18.217
_cell_angle_alpha 90.00
_cell_angle_beta 90.00
_cell_angle_gamma 90.00
loop_
_symmetry_equiv_pos_as_xyz
'x,y,z'
'-x,-y,z'
'-x,y,z'
'x,-y,z'
'x,y+1/2,z+1/2'
'-x,-y+1/2,z+1/2'
'-x,y+1/2,z+1/2'
'x,-y+1/2,z+1/2'
loop_
_atom_site_label
_atom_site_type_symbol
_atom_site_fract_x
_atom_site_fract_y
_atom_site_fract_z
Cs1 Cs 0.000 0.000 0.000
Rb1 Rb 0.000 0.235 0.257
Rb2 Rb 0.189 0.000 0.607
Rb3 Rb 0.244 0.246 0.384
Rb4 Rb 0.261 0.000 0.139
Rb5 Rb 0.500 0.000 0.491
Rb6 Rb 0.500 0.000 0.979
Rb7 Rb 0.500 0.243 0.733
Cd1 Cd 0.000 0.000 0.444
```

Record 5
Entry from Alexandria: TiMoI2N after structural relaxation (GGA-PBE).

Computed properties:
formation energy from raw total energies	914	meV/atom
energy relative to the lowest polymorph listed for this composition	357	meV/atom

The structure in CIF format:
```
data_TiMoI2N
_chemical_formula_sum 'Ti1 Mo1 I2 N1'
_symmetry_space_group_name_H-M 'P 4/m m m'
_symmetry_Int_Tables_number 123
_symmetry_space_group_name_Hall '-P 4 2'
_cell_length_a 5.482
_cell_length_b 5.482
_cell_length_c 3.787
_cell_angle_alpha 90.00
_cell_angle_beta 90.00
_cell_angle_gamma 90.00
loop_
_atom_site_label
_atom_site_type_symbol
_atom_site_fract_x
_atom_site_fract_y
_atom_site_fract_z
Ti1 Ti 0.000 0.000 0.000
Mo1 Mo 0.500 0.500 0.000
I1 I 0.000 0.500 0.500
N1 N 0.000 0.000 0.500
```

Record 6
Entry from Alexandria: ReP2AuCl after structural relaxation (GGA-PBE).

Computed properties:
formation energy from raw total energies	1670	meV/atom
energy relative to the lowest polymorph listed for this composition	1061	meV/atom

The structure in CIF format:
```
data_ReP2AuCl
_chemical_formula_sum 'Re1 P2 Au1 Cl1'
_symmetry_space_group_name_H-M 'P 4/m m m'
_symmetry_Int_Tables_number 123
_symmetry_space_group_name_Hall '-P 4 2'
_cell_length_a 4.842
_cell_length_b 4.842
_cell_length_c 4.824
_cell_angle_alpha 90.00
_cell_angle_beta 90.00
_cell_angle_gamma 90.00
loop_
_atom_site_label
_atom_site_type_symbol
_atom_site_fract_x
_atom_site_fract_y
_atom_site_fract_z
Re1 Re 0.000 0.000 0.000
P1 P 0.000 0.500 0.500
Au1 Au 0.500 0.500 0.500
Cl1 Cl 0.500 0.500 0.000
```

Record 7
Entry from Alexandria: Zn3Os after structural relaxation (GGA-PBE).

Computed properties:
formation enthalpy at 0 K	0.527	eV per formula unit

The structure in CIF format:
```
data_Zn3Os
_chemical_formula_sum 'Zn6 Os2'
_symmetry_space_group_name_H-M 'C m m m'
_symmetry_Int_Tables_number 65
_symmetry_space_group_name_Hall '-C 2 2'
_cell_length_a 5.316
_cell_length_b 7.743
_cell_length_c 2.772
_cell_angle_alpha 90.00
_cell_angle_beta 90.00
_cell_angle_gamma 90.00
loop_
_atom_site_label
_atom_site_type_symbol
_atom_site_fract_x
_atom_site_fract_y
_atom_site_fract_z
Zn1 Zn 0.000 0.000 0.000
Zn2 Zn 0.250 0.250 0.500
Os1 Os 0.000 0.500 0.000
```

Record 8
Entry from Alexandria: TeRhPb2 after structural relaxation (GGA-PBE).

Computed properties:
formation energy from raw total energies	-15	meV/atom

The structure in CIF format:
```
data_TeRhPb2
_chemical_formula_sum 'Te2 Rh2 Pb4'
_symmetry_space_group_name_H-M 'I m m 2'
_symmetry_Int_Tables_number 44
_cell_length_a 3.331
_cell_length_b 5.643
_cell_length_c 11.058
_cell_angle_alpha 90.00
_cell_angle_beta 90.00
_cell_angle_gamma 90.00
loop_
_symmetry_equiv_pos_as_xyz
'x,y,z'
'-x,-y,z'
'-x,y,z'
'x,-y,z'
'x+1/2,y+1/2,z+1/2'
'-x+1/2,-y+1/2,z+1/2'
'-x+1/2,y+1/2,z+1/2'
'x+1/2,-y+1/2,z+1/2'
loop_
_atom_site_label
_atom_site_type_symbol
_atom_site_fract_x
_atom_site_fract_y
_atom_site_fract_z
Te1 Te 0.000 0.000 0.000
Rh1 Rh 0.000 0.500 0.317
Pb1 Pb 0.000 0.000 0.602
Pb2 Pb 0.000 0.500 0.813
```

Record 9
Entry from Alexandria: ScMn3Sb after structural relaxation (GGA-PBE).

Computed properties:
formation energy from raw total energies	813	meV/atom
energy relative to the lowest polymorph listed for this composition	0	meV/atom

The structure in CIF format:
```
data_ScMn3Sb
_chemical_formula_sum 'Sc1 Mn3 Sb1'
_symmetry_space_group_name_H-M 'P m -3 m'
_symmetry_Int_Tables_number 221
_symmetry_space_group_name_Hall '-P 4 2 3'
_cell_length_a 4.876
_cell_length_b 4.876
_cell_length_c 4.876
_cell_angle_alpha 90.00
_cell_angle_beta 90.00
_cell_angle_gamma 90.00
loop_
_atom_site_label
_atom_site_type_symbol
_atom_site_fract_x
_atom_site_fract_y
_atom_site_fract_z
Sc1 Sc 0.000 0.000 0.000
Mn1 Mn 0.000 0.500 0.500
Sb1 Sb 0.500 0.500 0.500
```

Record 10
Entry from Alexandria: Ho2GaSi4Ni3 after structural relaxation (GGA-PBE).

Computed properties:
formation energy from raw total energies	-762	meV/atom

The structure in CIF format:
```
data_Ho2GaSi4Ni3
_chemical_formula_sum 'Ho2 Ga1 Si4 Ni3'
_symmetry_space_group_name_H-M 'P -4 m 2'
_symmetry_Int_Tables_number 115
_cell_length_a 3.935
_cell_length_b 3.935
_cell_length_c 9.916
_cell_angle_alpha 90.00
_cell_angle_beta 90.00
_cell_angle_gamma 90.00
loop_
_symmetry_equiv_pos_as_xyz
'x,y,z'
'y,-x,-z'
'-x,-y,z'
'-y,x,-z'
'-x,y,z'
'-y,-x,-z'
'x,-y,z'
'y,x,-z'
loop_
_atom_site_label
_atom_site_type_symbol
_atom_site_fract_x
_atom_site_fract_y
_atom_site_fract_z
Ho1 Ho 0.000 0.500 0.241
Ga1 Ga 0.000 0.000 0.500
Si1 Si 0.000 0.000 0.000
Si2 Si 0.000 0.500 0.649
Si3 Si 0.500 0.500 0.000
Ni1 Ni 0.000 0.500 0.877
Ni2 Ni 0.500 0.500 0.500
```

| no. | total magnetic moment (Bohr magnetons per cell) |
| --- | --- |
| 1 | 0.000 |
| 2 | 0.000 |
| 3 | 0.000 |
| 4 | 0.000 |
| 5 | 3.043 |
| 6 | 3.306 |
| 7 | 0.009 |
| 8 | 0.000 |
| 9 | 9.240 |
| 10 | 0.000 |